Entry 1:
First-principles (PBE) data for a relaxed structure of DyTmLu2In2, as listed in OQMD via LeMat-Bulk.

DFT total energy ... -4.271 eV per atom

Cell lengths 5.2905, 5.2905, 6.6341 Å; angles 90.00, 90.00, 120.00 degrees
Last column: nearest neighbours and their distance in Å.
Space group P-6m2 (No. 187)
Unique sites:
Dy: 0.0000 0.0000 0.0000 (multiplicity 1)  5 In 3.05-3.32
Tm: 0.6667 0.3333 0.5000 (multiplicity 1)  5 In 3.05-3.32
Lu: 0.3333 0.6667 0.2517 (multiplicity 2)  2 Lu 3.29-3.34, 6 In 3.47-3.48, 3 Tm 3.47, 3 Dy 3.48
In: 0.0000 0.0000 0.5000 (multiplicity 1)  3 Tm 3.05, 2 Dy 3.32
In: 0.6667 0.3333 0.0000 (multiplicity 1)  3 Dy 3.05, 2 Tm 3.32



Entry 2:
First-principles (PBE) data for a relaxed structure of DyLu2ZnIn2, as listed in OQMD via LeMat-Bulk.

DFT total energy ... -3.629 eV per atom

Cell lengths 5.0249, 5.0249, 6.9398 Å; angles 90.00, 90.00, 120.00 degrees
Last column: nearest neighbours and their distance in Å.
Space group P-6m2 (No. 187)
Unique sites:
Dy: 0.0000 0.0000 0.0000 (multiplicity 1)  3 In 2.90
Lu: 0.3333 0.6667 0.2604 (multiplicity 2)  2 Lu 3.33-3.61, 6 In 3.34-3.42, 3 Zn 3.34, 3 Dy 3.42
Zn: 0.6667 0.3333 0.5000 (multiplicity 1)  3 In 2.90
In: 0.0000 0.0000 0.5000 (multiplicity 1)  3 Zn 2.90
In: 0.6667 0.3333 0.0000 (multiplicity 1)  3 Dy 2.90



Entry 3:
First-principles (PBE) data for a relaxed structure of DyMgIn, as listed in OQMD via LeMat-Bulk.

DFT total energy ... -3.147 eV per atom

Cell lengths 8.4631, 8.4631, 3.7546 Å; angles 90.00, 90.00, 120.00 degrees
Last column: nearest neighbours and their distance in Å.
Space group P-62m (No. 189)
Unique sites:
Dy: 0.0000 0.2841 0.0000 (multiplicity 3)  4 In 3.05, 2 Mg 3.37
Mg: 0.0000 0.6150 0.5000 (multiplicity 3)  5 In 3.23-3.26, 6 Dy 3.37-3.48
In: 0.0000 0.0000 0.5000 (multiplicity 1)  6 Dy 3.05, 3 Mg 3.26
In: 0.3333 0.6667 0.0000 (multiplicity 2)  3 Dy 3.05, 6 Mg 3.23



- The lowest DFT total energy belongs to which entry?
  DyTmLu2In2



- Look up the DFT total energy of the second one.
  -3.629 eV per atom



- Which value of DFT total energy does entry 2 give?
  -3.629 eV per atom